No. 1
GGA-PBE Tl3Os2, relaxed; total DFT energy (no corrections) = -4.88 eV/atom; E above lowest polymorph = 267 meV/atom
1.0
-3.9184 -8.8902 8.0571
-3.9239 -10.6543 5.5132
-1.3215 -10.3135 7.1548
Tl Os
3 2
Cartesian
0.0000 0.0000 0.0000
-7.2320 -23.5637 16.3561
-1.9318 -6.2943 4.3690
-3.5941 -11.7105 8.1285
-5.5697 -18.1475 12.5966

No. 2
GGA-PBE Tl2Os, relaxed; total DFT energy (no corrections) = -4.59 eV/atom; E above lowest polymorph = 262 meV/atom
1.0
-3.1351 -3.5664 0.3190
3.3682 -2.7934 1.8714
-0.7981 0.9579 2.8662
Os Tl
1 2
Cartesian
0.0000 0.0000 0.0000
1.2850 -0.9178 2.3688
-1.9666 -1.3043 1.5926

No. 3
GGA-PBE Tl2Os, relaxed; total DFT energy (no corrections) = -4.39 eV/atom; E above lowest polymorph = 458 meV/atom
1.0
3.9497 -6.8412 0.0000
3.9497 6.8412 0.0000
0.0000 0.0000 3.5237
Tl Os
6 3
Cartesian
1.0805 -1.8715 0.0000
1.0805 1.8715 0.0000
5.7384 0.0000 0.0000
2.3804 -4.1231 1.7619
2.3804 4.1231 1.7619
3.1386 0.0000 1.7619
3.9497 2.2804 0.0000
3.9497 -2.2804 0.0000
0.0000 0.0000 1.7619

No. 4
GGA-PBE TlOs, relaxed; total DFT energy (no corrections) = -4.79 eV/atom; E above lowest polymorph = 1403 meV/atom
1.0
4.7341 0.0000 0.0000
-2.3671 4.0999 0.0000
0.0000 0.0000 5.4596
Tl Os
2 2
Cartesian
0.0000 2.7333 4.0947
2.3671 1.3666 1.3649
0.0000 2.7333 1.3649
2.3671 1.3666 4.0947

No. 5
GGA-PBE Tl2Os, relaxed; total DFT energy (no corrections) = -4.85 eV/atom; E above lowest polymorph = 0 meV/atom
1.0
1.4653 -15.0525 0.0000
1.4653 15.0525 0.0000
0.0000 0.0000 3.4361
Tl Os
4 2
Cartesian
1.4653 10.5525 2.5771
1.4653 1.5618 2.5771
1.4653 -1.5618 0.8590
1.4653 -10.5525 0.8590
1.4653 -8.1148 2.5771
1.4653 8.1148 0.8590

No. 6
GGA-PBE TlOs, relaxed; total DFT energy (no corrections) = -6.10 eV/atom; E above lowest polymorph = 99 meV/atom
1.0
-4.7606 4.4019 -2.4987
-1.2284 -4.3325 -5.2919
-4.8946 -3.1736 3.7345
Tl Os
8 8
Cartesian
-5.1381 -2.6302 -3.2947
-6.9196 -0.1977 -5.2772
-4.5344 -3.2762 1.6561
-7.6225 -1.6910 0.6706
-2.2721 -1.4246 -3.4401
-8.2132 -2.8572 -4.3064
-2.1001 0.1228 -0.1849
-6.7346 -0.4625 -2.0481
-3.5374 -2.5046 -0.9017
-4.7191 1.6302 -1.0278
-6.5915 -5.0112 -2.7026
-9.3666 -1.9096 -1.6129
-4.0284 -1.1655 -5.7101
-4.6885 -4.7515 -1.1082
-5.7683 1.9241 -3.2737
-4.8349 -0.6287 0.1124

No. 7
GGA-PBE TlOs, relaxed; total DFT energy (no corrections) = -5.02 eV/atom; E above lowest polymorph = 1174 meV/atom
1.0
-1.8961 -2.7283 2.0792
-1.8526 -2.9262 -1.8350
1.4183 -3.6483 0.2003
Os Tl
1 1
Cartesian
0.0000 0.0000 0.0000
-1.1652 -4.6514 0.2223

No. 8
GGA-PBE Tl3Os, relaxed; total DFT energy (no corrections) = -4.00 eV/atom; E above lowest polymorph = 140 meV/atom
1.0
5.5845 0.0000 0.0000
0.0000 7.7094 0.0000
0.0000 0.0000 8.7001
Tl Os
12 4
Cartesian
0.5955 0.1691 6.5251
3.3878 3.6856 2.1750
2.1968 4.0238 6.5251
4.9890 7.5403 2.1750
3.5055 1.3205 8.2512
0.7132 2.5342 0.4488
4.8713 5.1751 4.7989
2.0790 6.3889 3.9012
2.0790 6.3889 0.4488
4.8713 5.1751 8.2512
0.7132 2.5342 3.9012
3.5055 1.3205 4.7989
3.2693 6.6940 6.5251
0.4771 4.8701 2.1750
5.1074 2.8393 6.5251
2.3152 1.0154 2.1750

No. 9
GGA-PBE TlOs, relaxed; total DFT energy (no corrections) = -5.34 eV/atom; E above lowest polymorph = 855 meV/atom
1.0
6.1124 0.0000 0.0000
0.0000 6.1124 0.0000
0.0000 0.0000 5.3088
Tl Os
4 4
Cartesian
1.1882 1.1882 0.0000
4.2444 1.8680 2.6544
1.8680 4.2444 2.6544
4.9243 4.9243 0.0000
2.2591 3.8533 0.0000
5.3153 5.3153 2.6544
0.7971 0.7971 2.6544
3.8533 2.2591 0.0000

No. 10
GGA-PBE TlOs, relaxed; total DFT energy (no corrections) = -5.81 eV/atom; E above lowest polymorph = 390 meV/atom
1.0
-0.7161 2.4912 5.9003
1.7493 -2.4970 5.6778
1.1666 2.2158 -5.9381
Os Tl
2 2
Cartesian
0.9958 -0.0056 11.1579
0.5211 2.3518 3.2958
0.5432 -0.0030 6.0867
1.6897 -0.1419 2.4667

No. 11
GGA-PBE Tl2Os, relaxed; total DFT energy (no corrections) = -4.11 eV/atom; E above lowest polymorph = 733 meV/atom
1.0
-0.1908 4.8328 -0.7460
-3.9126 -2.7798 -0.9557
-2.0103 0.8219 5.8393
Tl Os
4 2
Cartesian
0.0000 0.0000 0.0000
-1.0052 0.4110 2.9197
-4.1798 0.3742 3.4937
-1.9340 2.5008 0.6439
-3.1746 -0.0367 0.5740
-2.9392 2.9118 3.5636

No. 12
GGA-PBE TlOs, relaxed; total DFT energy (no corrections) = -5.95 eV/atom; E above lowest polymorph = 249 meV/atom
1.0
-6.1258 1.7381 -2.9909
-5.6058 -0.8532 -4.1640
-3.7261 -3.0258 5.0322
Tl Os
3 3
Cartesian
-11.8889 0.3516 -6.0465
-2.4572 -1.8955 3.0978
-6.0172 -2.5886 3.0509
-4.5181 -0.6278 -0.6160
-10.5252 -1.0699 -2.3019
-8.3904 -0.2357 -3.1985